Record 1
A plane-wave DFT calculation with PBE was carried out for crystalline Na2Zr3Se6 at its relaxed geometry.

POSCAR file:
```
Na2Zr3Se6
1.0
3.295 -5.708 0.000
3.295 5.708 0.000
-2.197 0.000 7.297
Na Zr Se
2 3 6
Direct
0.167 0.833 0.000
0.833 0.167 0.000
0.000 0.000 0.500
0.333 0.667 0.500
0.667 0.333 0.500
0.077 0.408 0.724
0.261 0.261 0.277
0.408 0.077 0.724
0.592 0.923 0.276
0.739 0.739 0.723
0.923 0.592 0.276
```

=====

Record 2
PBE NaSi2, optimized geometry; ΔE to the lowest computed polymorph = 10.0 meV per atom
1.0
3.793 0.000 0.000
1.309 4.706 0.000
0.794 1.369 7.414
Na Si
2 4
Direct
0.000 0.000 0.000
0.441 0.426 0.253
0.208 0.926 0.579
0.412 0.506 0.821
0.781 0.820 0.406
0.985 0.404 0.645

=====

Record 3
A plane-wave DFT calculation with PBE was carried out for crystalline Na6Si at its relaxed geometry.

POSCAR file:
```
Na6Si
1.0
-4.117 4.117 4.117
4.117 -4.117 4.117
4.117 4.117 -4.117
Na Si
6 1
Direct
0.250 0.500 0.750
0.250 0.750 0.500
0.500 0.250 0.750
0.500 0.750 0.250
0.750 0.250 0.500
0.750 0.500 0.250
0.000 0.000 0.000
```

=====

Record 4
A plane-wave DFT calculation with PBE was carried out for crystalline NaSi23 at its relaxed geometry.

POSCAR file:
```
NaSi23
1.0
10.235 0.000 0.000
0.000 10.235 0.000
0.000 0.000 10.235
Na Si
2 46
Direct
0.000 0.000 0.000
0.500 0.500 0.500
0.000 0.117 0.308
0.000 0.117 0.692
0.000 0.250 0.500
0.000 0.750 0.500
0.000 0.883 0.308
0.000 0.883 0.692
0.117 0.308 0.000
0.117 0.692 0.000
0.184 0.184 0.184
0.184 0.184 0.816
0.184 0.816 0.184
0.184 0.816 0.816
0.192 0.383 0.500
0.192 0.617 0.500
0.250 0.500 0.000
0.308 0.000 0.117
0.308 0.000 0.883
0.316 0.316 0.316
0.316 0.316 0.684
0.316 0.684 0.316
0.316 0.684 0.684
0.383 0.500 0.192
0.383 0.500 0.808
0.500 0.000 0.250
0.500 0.000 0.750
0.500 0.192 0.383
0.500 0.192 0.617
0.500 0.808 0.383
0.500 0.808 0.617
0.617 0.500 0.192
0.617 0.500 0.808
0.684 0.316 0.316
0.684 0.316 0.684
0.684 0.684 0.316
0.684 0.684 0.684
0.692 0.000 0.117
0.692 0.000 0.883
0.750 0.500 0.000
0.808 0.383 0.500
0.808 0.617 0.500
0.816 0.184 0.184
0.816 0.184 0.816
0.816 0.816 0.184
0.816 0.816 0.816
0.883 0.308 0.000
0.883 0.692 0.000
```

=====

What did we get for uncorrected formation energy? Answer: -14.83, 0.20, 5.29, 1.25 eV/f.u., in the order shown.
What did we get for calculated volume? Answer: 24.95, 22.05, 39.87, 22.33 A^3/atom, in the order shown.